Compound: LaZn4Te
Source: Alexandria via LeMat-Bulk
Functional: GGA-PBEsol
Structure: optimized geometry

a b c (Å): 5.547 5.547 5.547
angles (deg): 60.00 60.00 60.00
Element x y z (fractional)
La  0.750  0.750  0.750
Te  0.000  0.000  0.000
Zn  0.374  0.374  0.374
Zn  0.374  0.374  0.878
Zn  0.878  0.374  0.374
Zn  0.374  0.878  0.374

Raw formation energy: -0.187 eV/atom
Total DFT energy (no corrections): -2.7201 eV/atom